Dy2Th9Sc: optimized geometry, PBE.

Geometry as CIF:
```
data_Dy2Th9Sc
_symmetry_space_group_name_H-M 'P 4/m m m'
_symmetry_Int_Tables_number 123
_symmetry_space_group_name_Hall '-P 4 2'
_cell_length_a 5.0223
_cell_length_b 5.0223
_cell_length_c 15.0505
_cell_angle_alpha 90.00
_cell_angle_beta 90.00
_cell_angle_gamma 90.00
loop_
_atom_site_label
_atom_site_type_symbol
_atom_site_fract_x
_atom_site_fract_y
_atom_site_fract_z
Dy1 Dy 0.0000 0.0000 0.1681
Th1 Th 0.0000 0.5000 0.0000
Th2 Th 0.0000 0.5000 0.3369
Th3 Th 0.5000 0.5000 0.1687
Th4 Th 0.5000 0.5000 0.5000
Sc1 Sc 0.0000 0.0000 0.5000
```

Calculated values
M_tot: 0.00 μB/f.u.
energy: -81.59 eV/cell
ρ: 10.75 g cm⁻³